# 1
A geometry-optimized Cs3Sn8Bi3 structure. Source: the Alexandria database, functional GGA-PBE.

abc: 10.6967 10.6967 10.6967
angles: 153.70 99.47 86.50
Positions (direct):
1 Cs 0.0000 0.0000 0.0000
2 Cs 0.2792 0.2792 0.0000
3 Cs 0.7208 0.7208 0.0000
4 Sn 0.0334 0.3678 0.6656
5 Sn 0.1199 0.8303 0.2896
6 Sn 0.2978 0.6322 0.6656
7 Sn 0.4593 0.1697 0.2896
8 Sn 0.5407 0.8303 0.7104
9 Sn 0.7022 0.3678 0.3344
10 Sn 0.8801 0.1697 0.7104
11 Sn 0.9666 0.6322 0.3344
12 Bi 0.3337 0.5000 0.8337
13 Bi 0.5000 0.0000 0.5000
14 Bi 0.6663 0.5000 0.1663

Computed properties:
- Space group: Immm (71)
- Uncorrected energy: -0.2512 Ry per atom

# 2
A geometry-optimized Cs3SnBi2 structure. Source: the Alexandria database, functional GGA-PBE.

abc: 15.0481 5.5278 15.7089
angles: 90.00 90.00 90.00
Positions (direct):
1 Cs 0.0728 0.2500 0.1113
2 Cs 0.1233 0.7500 0.5638
3 Cs 0.1698 0.2500 0.8020
4 Cs 0.3302 0.7500 0.3020
5 Cs 0.3767 0.2500 0.0638
6 Cs 0.4272 0.7500 0.6113
7 Cs 0.5728 0.2500 0.3887
8 Cs 0.6233 0.7500 0.9362
9 Cs 0.6698 0.2500 0.6980
10 Cs 0.8302 0.7500 0.1980
11 Cs 0.8767 0.2500 0.4362
12 Cs 0.9272 0.7500 0.8887
13 Sn 0.1443 0.2500 0.3660
14 Sn 0.3557 0.7500 0.8660
15 Sn 0.6443 0.2500 0.1340
16 Sn 0.8557 0.7500 0.6340
17 Bi 0.0713 0.7500 0.3171
18 Bi 0.2028 0.7500 0.9758
19 Bi 0.2972 0.2500 0.4758
20 Bi 0.4287 0.2500 0.8171
21 Bi 0.5713 0.7500 0.1829
22 Bi 0.7028 0.7500 0.5242
23 Bi 0.7972 0.2500 0.0242
24 Bi 0.9287 0.2500 0.6829

Computed properties:
- Space group: Pnma (62)
- Offset from the most stable computed form: 0.00 kcal/mol of atoms

Total magnetic moment for every record listed, in sequence, given in μB per atom: 0.000; 0.000.
Calculated density for every record listed, in sequence, given in g/cm3: 6.3; 4.8.